--- w ---
Here is MnBeSb2I after structural relaxation from Alexandria via LeMat-Bulk. Energies are from PBE.

Cell: 4.856 4.856 5.510 Å, 90.00 90.00 90.00°
Space group P4/mmm (No. 123)
Unique sites:
Mn 0.000 0.000 0.000 [1 per cell]
Be 0.500 0.500 0.500 [1 per cell]
Sb 0.000 0.500 0.500 [2 per cell]
I 0.500 0.500 0.000 [1 per cell]

Values from the calculation:
Magnetic moment (μB per atom): 0.856
Crystal system: tetragonal


--- x ---
Here is MnBeSb2I after structural relaxation from Alexandria via LeMat-Bulk. Energies are from PBE.

Cell: 4.961 4.961 5.745 Å, 90.00 90.00 90.00°
Space group P4/mmm (No. 123)
Unique sites:
Mn 0.000 0.000 0.000 [1 per cell]
Be 0.500 0.500 0.500 [1 per cell]
Sb 0.000 0.500 0.000 [2 per cell]
I 0.000 0.000 0.500 [1 per cell]

Values from the calculation:
Magnetic moment (μB per atom): 0.380
Crystal system: tetragonal


Pick w: it beats the second-best structure by 13.0 kJ/mol of atoms.


--- w ---
Here is MnBeSbI2 after structural relaxation from Alexandria via LeMat-Bulk. Energies are from PBE.

Cell: 5.206 5.206 5.136 Å, 90.00 90.00 90.00°
Space group P4/mmm (No. 123)
Unique sites:
Mn 0.000 0.000 0.000 [1 per cell]
Be 0.500 0.500 0.500 [1 per cell]
Sb 0.500 0.500 0.000 [1 per cell]
I 0.000 0.500 0.500 [2 per cell]

Values from the calculation:
Magnetic moment (μB per atom): 0.945
Crystal system: tetragonal


--- x ---
Here is MnBeSbI2 after structural relaxation from Alexandria via LeMat-Bulk. Energies are from PBE.

Cell: 5.448 5.448 4.892 Å, 90.00 90.00 90.00°
Space group P4/mmm (No. 123)
Unique sites:
Mn 0.000 0.000 0.000 [1 per cell]
Be 0.500 0.500 0.500 [1 per cell]
Sb 0.000 0.000 0.500 [1 per cell]
I 0.000 0.500 0.000 [2 per cell]

Values from the calculation:
Magnetic moment (μB per atom): 0.005
Crystal system: tetragonal


Pick w: it beats the second-best structure by 32.3 kJ/mol of atoms.


--- w ---
Here is MnBeTe2I after structural relaxation from Alexandria via LeMat-Bulk. Energies are from PBE.

Cell: 5.010 5.010 5.069 Å, 90.00 90.00 90.00°
Space group P4/mmm (No. 123)
Unique sites:
Mn 0.000 0.000 0.000 [1 per cell]
Be 0.500 0.500 0.500 [1 per cell]
Te 0.000 0.500 0.500 [2 per cell]
I 0.500 0.500 0.000 [1 per cell]

Values from the calculation:
Magnetic moment (μB per atom): 0.050
Crystal system: tetragonal


--- x ---
Here is MnBeTe2I after structural relaxation from Alexandria via LeMat-Bulk. Energies are from PBE.

Cell: 4.913 4.913 5.698 Å, 90.00 90.00 90.00°
Space group P4/mmm (No. 123)
Unique sites:
Mn 0.000 0.000 0.000 [1 per cell]
Be 0.500 0.500 0.500 [1 per cell]
Te 0.000 0.500 0.000 [2 per cell]
I 0.000 0.000 0.500 [1 per cell]

Values from the calculation:
Magnetic moment (μB per atom): 0.591
Crystal system: tetragonal


Pick x: it beats the second-best structure by 28.4 kJ/mol of atoms.


--- w ---
Here is MnBeTeI2 after structural relaxation from Alexandria via LeMat-Bulk. Energies are from PBE.

Cell: 5.155 5.155 5.318 Å, 90.00 90.00 90.00°
Space group P4/mmm (No. 123)
Unique sites:
Mn 0.000 0.000 0.000 [1 per cell]
Be 0.500 0.500 0.500 [1 per cell]
Te 0.500 0.500 0.000 [1 per cell]
I 0.000 0.500 0.500 [2 per cell]

Values from the calculation:
Magnetic moment (μB per atom): 1.008
Crystal system: tetragonal


--- x ---
Here is MnBeTeI2 after structural relaxation from Alexandria via LeMat-Bulk. Energies are from PBE.

Cell: 5.519 5.519 4.837 Å, 90.00 90.00 90.00°
Space group P4/mmm (No. 123)
Unique sites:
Mn 0.000 0.000 0.000 [1 per cell]
Be 0.500 0.500 0.500 [1 per cell]
Te 0.000 0.000 0.500 [1 per cell]
I 0.000 0.500 0.000 [2 per cell]

Values from the calculation:
Magnetic moment (μB per atom): 0.045
Crystal system: tetragonal


Pick w: it beats the second-best structure by 41.2 kJ/mol of atoms.


--- w ---
Here is BeMoI3 after structural relaxation from Alexandria via LeMat-Bulk. Energies are from PBE.

Cell: 5.310 5.310 5.310 Å, 90.00 90.00 90.00°
Space group Pm-3m (No. 221)
Unique sites:
Be 0.000 0.000 0.000 [1 per cell]
Mo 0.500 0.500 0.500 [1 per cell]
I 0.000 0.000 0.500 [3 per cell]

Values from the calculation:
Magnetic moment (μB per atom): 0.977
Crystal system: cubic


--- x ---
Here is BeMoI3 after structural relaxation from Alexandria via LeMat-Bulk. Energies are from PBE.

Cell: 5.654 5.654 5.654 Å, 90.00 90.00 90.00°
Space group Pm-3m (No. 221)
Unique sites:
Be 0.000 0.000 0.000 [1 per cell]
Mo 0.500 0.500 0.500 [1 per cell]
I 0.000 0.500 0.500 [3 per cell]

Values from the calculation:
Magnetic moment (μB per atom): 0.600
Crystal system: cubic


Pick w: it beats the second-best structure by 0.5 kJ/mol of atoms.


--- w ---
Here is BeMoI2 after structural relaxation from Alexandria via LeMat-Bulk. Energies are from PBE.

Cell: 6.004 6.004 11.153 Å, 90.00 90.00 90.00°
Space group I-42d (No. 122)
Unique sites:
Be 0.000 0.000 0.000 [4 per cell]
Mo 0.000 0.000 0.500 [4 per cell]
I 0.217 0.250 0.125 [8 per cell]

Values from the calculation:
Magnetic moment (μB per atom): 0.000
Crystal system: tetragonal


--- x ---
Here is BeMoI2 after structural relaxation from Alexandria via LeMat-Bulk. Energies are from PBE.

Cell: 6.828 6.828 6.828 Å, 90.00 90.00 90.00°
Space group Fm-3m (No. 225)
Unique sites:
Be 0.000 0.000 0.000 [4 per cell]
Mo 0.000 0.000 0.500 [4 per cell]
I 0.250 0.250 0.250 [8 per cell]

Values from the calculation:
Magnetic moment (μB per atom): 0.000
Crystal system: cubic


Pick w: it beats the second-best structure by 11.1 kJ/mol of atoms.